PmNb2PbO8 | Alexandria via LeMat-Bulk | PBE | relaxed; total DFT energy (no corrections) = -7.98 eV/atom; uncorrected formation energy = -2291 meV per atom
1.0
6.182 0.000 0.000
-3.091 5.354 0.000
0.000 0.000 6.756
Pm Nb Pb O
1 2 1 8
direct
0.000 0.000 0.000 Pm
0.333 0.667 0.682 Nb
0.667 0.333 0.318 Nb
0.000 0.000 0.500 Pb
0.161 0.321 0.762 O
0.161 0.839 0.762 O
0.321 0.161 0.238 O
0.333 0.667 0.420 O
0.667 0.333 0.580 O
0.679 0.839 0.762 O
0.839 0.161 0.238 O
0.839 0.679 0.238 O

---

Al2ZnReBr | Alexandria via LeMat-Bulk | PBE | relaxed; total DFT energy (no corrections) = -3.92 eV/atom; uncorrected formation energy = 656 meV per atom
1.0
4.956 0.000 0.000
0.000 4.956 0.000
0.000 0.000 4.990
Al Zn Re Br
2 1 1 1
direct
0.000 0.500 0.000 Al
0.500 0.000 0.000 Al
0.000 0.000 0.500 Zn
0.500 0.500 0.000 Re
0.500 0.500 0.500 Br

---

CuSi2As | Alexandria via LeMat-Bulk | PBE | relaxed; total DFT energy (no corrections) = -4.53 eV/atom; uncorrected formation energy = 369 meV per atom
1.0
1.402 0.809 8.906
-1.402 0.809 8.906
0.000 -1.619 8.906
Cu Si As
1 2 1
direct
0.000 0.000 0.000 Cu
0.259 0.259 0.259 Si
0.741 0.741 0.741 Si
0.500 0.500 0.500 As

---

Ti4RePd | Alexandria via LeMat-Bulk | PBE | relaxed; total DFT energy (no corrections) = -8.15 eV/atom; formation energy from the elements = 0.0526 eV per atom
1.0
3.779 -2.182 0.000
3.779 2.182 0.000
-2.530 0.000 6.872
Ti Re Pd
4 1 1
direct
0.122 0.122 0.367 Ti
0.372 0.372 0.115 Ti
0.628 0.628 0.885 Ti
0.878 0.878 0.633 Ti
0.000 0.000 0.000 Re
0.500 0.500 0.500 Pd

---

no.,calculated density (g cm⁻³),size of the total moment (μB per formula unit)
1,4.95,0.0
2,5.22,0.0
3,5.33,0.0
4,7.09,0.0